1.
YZrCdPd | GGA-PBE | relaxed

```
YZrCdPd
1.0
5.000 0.000 0.000
2.500 4.330 0.000
2.500 1.443 4.083
Y Zr Pd Cd
1 1 1 1
direct
0.750 0.750 0.750 Y
0.250 0.250 0.250 Zr
0.500 0.500 0.500 Pd
0.000 0.000 0.000 Cd
```

Calculated values
Total magnetization, μB/cell: 0.72
Fermi-level density of states, states/eV per cell: 5.389
Energy of formation, eV/atom: -0.338
Calculated volume, Å³ per cell: 88.4

2.
Yb2CdPd3 | GGA-PBE | relaxed

```
Yb2CdPd3
1.0
-1.513 3.444 3.068
-3.058 -3.485 -1.436
3.332 -6.701 9.164
Yb Pd Cd
4 6 2
direct
0.000 0.000 0.500 Yb
0.333 0.667 0.178 Yb
0.667 0.333 0.822 Yb
0.000 0.000 0.000 Yb
0.333 0.667 0.423 Pd
0.667 0.333 0.087 Pd
0.000 0.000 0.746 Pd
0.000 0.000 0.254 Pd
0.333 0.667 0.913 Pd
0.667 0.333 0.577 Pd
0.333 0.667 0.665 Cd
0.667 0.333 0.335 Cd
```

Calculated values
Total magnetization, μB/cell: 0.54
Fermi-level density of states, states/eV per cell: 64.606
Energy of formation, eV/atom: -0.663
Calculated volume, Å³ per cell: 241.4

3.
YbCdPd2 | GGA-PBE | relaxed

```
YbCdPd2
1.0
-2.363 0.532 4.127
-4.769 -0.377 0.092
-2.061 -3.783 2.082
Yb Pd Cd
1 2 1
direct
0.000 0.000 0.000 Yb
0.250 0.250 0.250 Pd
0.750 0.750 0.750 Pd
0.500 0.500 0.500 Cd
```

Calculated values
Total magnetization, μB/cell: 0.32
Fermi-level density of states, states/eV per cell: 16.989
Energy of formation, eV/atom: -0.615
Calculated volume, Å³ per cell: 77.5

4.
Yb2CdPd2 | GGA-PBE | relaxed

```
Yb2CdPd2
1.0
-3.728 -0.967 -6.601
4.393 -6.046 -1.596
-2.529 -2.304 1.766
Yb Cd Pd
4 2 4
direct
0.333 0.833 0.500 Yb
0.833 0.667 0.500 Yb
0.167 0.333 0.500 Yb
0.667 0.167 0.500 Yb
0.000 0.000 0.000 Cd
0.500 0.500 0.000 Cd
0.368 0.132 0.000 Pd
0.868 0.368 0.000 Pd
0.132 0.632 0.000 Pd
0.632 0.868 0.000 Pd
```

Calculated values
Total magnetization, μB/cell: 1.07
Fermi-level density of states, states/eV per cell: 61.808
Energy of formation, eV/atom: -0.716
Calculated volume, Å³ per cell: 224.9

5.
ZnCdPd5 | GGA-PBE | relaxed

```
ZnCdPd5
1.0
4.178 0.000 0.000
0.000 4.178 0.000
0.000 0.000 6.684
Zn Cd Pd
1 1 5
direct
0.500 0.500 0.000 Zn
0.000 0.000 0.500 Cd
0.000 0.500 0.783 Pd
0.000 0.500 0.217 Pd
0.500 0.000 0.783 Pd
0.500 0.000 0.217 Pd
0.500 0.500 0.500 Pd
```

Calculated values
Total magnetization, μB/cell: 0.00
Fermi-level density of states, states/eV per cell: 6.836
Energy of formation, eV/atom: -0.206
Calculated volume, Å³ per cell: 116.7

6.
Zn4CdPd | GGA-PBE | relaxed

```
Zn4CdPd
1.0
-1.640 1.156 4.664
-1.209 -3.703 3.255
2.956 -0.905 4.027
Zn Pd Cd
4 1 1
direct
0.626 0.626 0.123 Zn
0.626 0.123 0.626 Zn
0.626 0.626 0.626 Zn
0.123 0.626 0.626 Zn
0.000 0.000 0.000 Pd
0.250 0.250 0.250 Cd
```

Calculated values
Total magnetization, μB/cell: 0.00
Fermi-level density of states, states/eV per cell: 2.304
Energy of formation, eV/atom: -0.150
Calculated volume, Å³ per cell: 92.5

7.
ZnCd2Pd8 | GGA-PBE | relaxed

```
ZnCd2Pd8
1.0
-1.798 2.494 2.646
-2.703 1.058 -2.834
-6.625 -8.222 3.248
Zn Cd Pd
1 2 8
direct
0.000 0.000 0.000 Zn
0.000 0.000 0.321 Cd
0.000 0.000 0.679 Cd
0.000 0.500 0.500 Pd
0.500 0.000 0.500 Pd
0.500 0.500 0.318 Pd
0.500 0.500 0.682 Pd
0.000 0.500 0.138 Pd
0.500 0.000 0.138 Pd
0.000 0.500 0.862 Pd
0.500 0.000 0.862 Pd
```

Calculated values
Total magnetization, μB/cell: 0.00
Fermi-level density of states, states/eV per cell: 12.318
Energy of formation, eV/atom: -0.213
Calculated volume, Å³ per cell: 181.8

8.
ZnCd3Pd6 | GGA-PBE | relaxed

```
ZnCd3Pd6
1.0
-0.232 4.513 -0.869
-5.000 -1.366 -5.762
-5.091 1.315 8.187
Zn Cd Pd
2 6 12
direct
0.250 0.953 0.593 Zn
0.750 0.047 0.407 Zn
0.250 0.540 0.390 Cd
0.750 0.460 0.610 Cd
0.250 0.361 0.787 Cd
0.750 0.639 0.213 Cd
0.250 0.771 0.994 Cd
0.750 0.229 0.006 Cd
0.250 0.454 0.086 Pd
0.750 0.546 0.914 Pd
0.250 0.150 0.185 Pd
0.750 0.850 0.815 Pd
0.250 0.672 0.689 Pd
0.750 0.328 0.311 Pd
0.250 0.232 0.488 Pd
0.750 0.768 0.512 Pd
0.250 0.862 0.308 Pd
0.750 0.138 0.692 Pd
0.250 0.057 0.873 Pd
0.750 0.943 0.127 Pd
```

Calculated values
Total magnetization, μB/cell: 0.00
Fermi-level density of states, states/eV per cell: 6.486
Energy of formation, eV/atom: -0.379
Calculated volume, Å³ per cell: 329.7

9.
Zn4CdPd15 | GGA-PBE | relaxed

```
Zn4CdPd15
1.0
-1.066 -2.088 -3.202
3.820 -0.714 -0.806
-0.743 -16.118 10.756
Zn Cd Pd
4 1 15
direct
0.000 0.000 0.204 Zn
0.000 0.000 0.401 Zn
0.000 0.000 0.599 Zn
0.000 0.000 0.796 Zn
0.000 0.000 0.000 Cd
0.500 0.500 0.000 Pd
0.500 0.500 0.205 Pd
0.500 0.500 0.401 Pd
0.500 0.500 0.599 Pd
0.500 0.500 0.795 Pd
0.500 0.000 0.106 Pd
0.500 0.000 0.303 Pd
0.500 0.000 0.500 Pd
0.500 0.000 0.697 Pd
0.500 0.000 0.894 Pd
0.000 0.500 0.106 Pd
0.000 0.500 0.303 Pd
0.000 0.500 0.500 Pd
0.000 0.500 0.697 Pd
0.000 0.500 0.894 Pd
```

Calculated values
Total magnetization, μB/cell: 0.00
Fermi-level density of states, states/eV per cell: 28.902
Energy of formation, eV/atom: -0.283
Calculated volume, Å³ per cell: 305.4

10.
Zn6CdPd5 | GGA-PBE | relaxed

```
Zn6CdPd5
1.0
-1.182 -0.615 -4.252
2.170 -5.602 0.207
-5.512 -1.996 3.767
Zn Pd Cd
6 5 1
direct
0.823 0.746 0.650 Zn
0.823 0.254 0.650 Zn
0.500 0.266 0.000 Zn
0.500 0.734 0.000 Zn
0.177 0.746 0.350 Zn
0.177 0.254 0.350 Zn
0.667 0.500 0.328 Pd
0.337 0.000 0.680 Pd
0.000 0.500 0.000 Pd
0.663 0.000 0.320 Pd
0.333 0.500 0.672 Pd
0.000 0.000 0.000 Cd
```

Calculated values
Total magnetization, μB/cell: 0.00
Fermi-level density of states, states/eV per cell: 3.336
Energy of formation, eV/atom: -0.439
Calculated volume, Å³ per cell: 179.9

11.
Zn4CdPd3 | GGA-PBE | relaxed

```
Zn4CdPd3
1.0
4.612 0.000 0.000
0.000 5.847 0.000
0.000 0.000 9.050
Zn Pd Cd
8 6 2
direct
0.500 0.765 0.000 Zn
0.500 0.765 0.500 Zn
0.500 0.235 0.000 Zn
0.500 0.235 0.500 Zn
0.106 0.765 0.750 Zn
0.894 0.765 0.250 Zn
0.894 0.235 0.250 Zn
0.106 0.235 0.750 Zn
0.000 0.000 0.000 Pd
0.000 0.000 0.500 Pd
0.603 0.000 0.750 Pd
0.397 0.000 0.250 Pd
0.601 0.500 0.750 Pd
0.399 0.500 0.250 Pd
0.000 0.500 0.000 Cd
0.000 0.500 0.500 Cd
```

Calculated values
Total magnetization, μB/cell: 0.00
Fermi-level density of states, states/eV per cell: 5.081
Energy of formation, eV/atom: -0.390
Calculated volume, Å³ per cell: 244.1

12.
ZnCdPd4 | GGA-PBE | relaxed

```
ZnCdPd4
1.0
-1.949 -0.536 1.990
-3.157 -2.855 -1.839
2.937 -6.852 3.055
Zn Cd Pd
1 1 4
direct
0.000 0.000 0.000 Zn
0.500 0.500 0.500 Cd
0.651 0.552 0.145 Pd
0.349 0.448 0.855 Pd
0.155 0.023 0.666 Pd
0.845 0.977 0.334 Pd
```

Calculated values
Total magnetization, μB/cell: 0.00
Fermi-level density of states, states/eV per cell: 2.413
Energy of formation, eV/atom: -0.238
Calculated volume, Å³ per cell: 99.0